No. 1
4
Lattice="-3.546 -1.834 1.100 1.755 -3.713 -0.531 2.165 2.786 3.828" Properties=species:S:1:pos:R:3 comment="AsAu3 | Alexandria | GGA-PBE | optimized geometry" relative_energy_ev_per_atom=0.0590 formation_energy_ev_per_atom=0.164 pbc="T T T"
As 0.000 0.000 0.000
Au -1.138 -0.911 2.607
Au -0.895 -2.773 0.285
Au 1.513 -1.850 1.791


No. 2
9
Lattice="-0.421 2.289 -1.435 -2.019 -1.821 0.292 -6.601 10.246 18.284" Properties=species:S:1:pos:R:3 comment="Pd2RuPt6 | Alexandria | GGA-PBE | optimized geometry" formation_energy_ev_per_atom=0.092 pbc="T T T"
Ru -1.486 -0.451 -0.284
Pd -1.620 1.954 0.986
Pd -6.888 10.131 15.579
Pt -2.870 1.697 3.549
Pt -5.905 6.407 11.955
Pt -6.704 7.647 14.167
Pt -3.858 5.427 7.185
Pt -4.650 6.657 9.380
Pt -3.669 2.937 5.762


No. 3
7
Lattice="-4.681 -1.994 -3.354 1.517 -4.989 3.155 -2.813 3.369 4.229" Properties=species:S:1:pos:R:3 comment="Ce3Te3S | Alexandria | GGA-PBE | optimized geometry" formation_energy_uncorrected_ev_per_atom=-1.388 pbc="T T T"
Te -3.949 -0.088 1.035
Te -1.536 -1.254 3.570
Te -2.263 -3.343 0.617
Ce -3.628 -2.613 5.708
Ce -4.564 -5.301 1.907
Ce -6.735 -1.112 2.445
S -0.036 -0.022 0.024


No. 4
4
Lattice="4.372 0.000 0.000 0.000 3.086 -0.004 0.000 0.177 5.656" Properties=species:S:1:pos:R:3 comment="Sb2OsW | Alexandria | GGA-PBE | optimized geometry" relative_energy_ev_per_atom=0.7215 formation_energy_uncorrected_ev_per_atom=0.960 pbc="T T T"
Sb 0.000 2.916 0.012
Sb 0.000 1.802 2.811
Os 2.186 2.447 4.239
W 2.186 0.816 1.413


No. 5
4
Lattice="4.889 0.000 0.000 2.445 4.234 0.000 2.445 1.411 3.992" Properties=species:S:1:pos:R:3 comment="HoErCuPt | Alexandria | GGA-PBE | optimized geometry" relative_energy_ev_per_atom=0.0323 formation_energy_ev_per_atom=-0.798 pbc="T T T"
Ho 4.889 2.823 1.996
Pt 7.334 4.234 2.994
Er 0.000 0.000 0.000
Cu 2.445 1.411 0.998


No. 6
10
Lattice="-3.417 -0.464 1.372 0.932 -5.283 0.534 4.416 1.193 4.091" Properties=species:S:1:pos:R:3 comment="TiReN3 | Alexandria | GGA-PBE | optimized geometry" formation_energy_uncorrected_ev_per_atom=-0.088 pbc="T T T"
N 0.531 -3.703 3.263
N -1.350 -5.498 1.603
N -1.789 -3.010 1.351
N 1.401 -0.852 2.735
N 3.721 -1.545 4.646
N 3.282 0.943 4.395
Ti 2.016 -3.587 1.820
Ti -0.085 -0.968 4.177
Re 1.310 -3.396 4.944
Re 0.622 -1.159 1.054


No. 7
4
Lattice="-4.595 0.958 -0.079 -2.974 -2.549 2.588 -2.066 1.905 3.760" Properties=species:S:1:pos:R:3 comment="Al2TlW | Alexandria | GGA-PBE | optimized geometry" relative_energy_ev_per_atom=0.5917 formation_energy_ev_per_atom=0.877 pbc="T T T"
Al -2.409 0.079 1.567
Al 0.000 0.000 0.000
W -7.226 0.236 4.702
Tl -4.817 0.157 3.135


No. 8
4
Lattice="-0.091 -1.479 -3.211 3.464 -0.677 0.214 -1.324 -5.903 2.756" Properties=species:S:1:pos:R:3 comment="PPtSe2 | Alexandria | GGA-PBE | optimized geometry" formation_energy_uncorrected_ev_per_atom=0.261 pbc="T T T"
Se -1.231 -5.488 2.562
Se 1.285 -2.870 -0.662
P -0.779 -3.473 1.622
Pt 0.789 -5.082 0.371